## TaIr2Pt (GGA-PBE)

Data for TaIr2Pt after structural relaxation.

Computed properties:
* E: -9.073 eV/atom
* size of the total moment: 0.0 μB per formula unit
* energy relative to the elements: -0.17 eV/atom
* crystal system: trigonal

Geometry as CIF:
```
data_TaIr2Pt
_chemical_formula_sum 'Ta3 Ir6 Pt3'
_space_group_name_H-M_alt 'R -3 m'
_space_group_IT_number 166
_space_group_name_Hall '-R 3 2"'
_cell_length_a 2.8156
_cell_length_b 2.8156
_cell_length_c 27.4296
_cell_angle_alpha 90.00
_cell_angle_beta 90.00
_cell_angle_gamma 120.00
loop_
_atom_site_label
_atom_site_fract_x
_atom_site_fract_y
_atom_site_fract_z
Ta1 0.0000 0.0000 0.0000
Ir1 0.0000 0.0000 0.2520
Pt1 0.0000 0.0000 0.5000
```

## MnPbBr (GGA-PBE)

Data for MnPbBr after structural relaxation.

Computed properties:
* E: -4.489 eV/atom
* size of the total moment: 3.5 μB per formula unit
* crystal system: cubic
* uncorrected formation energy: 0.36 eV per atom

Geometry as CIF:
```
data_MnPbBr
_chemical_formula_sum 'Mn4 Pb4 Br4'
_space_group_name_H-M_alt 'F -4 3 m'
_space_group_IT_number 216
_space_group_name_Hall 'F -4 2 3'
_cell_length_a 6.8586
_cell_length_b 6.8586
_cell_length_c 6.8586
_cell_angle_alpha 90.00
_cell_angle_beta 90.00
_cell_angle_gamma 90.00
loop_
_atom_site_label
_atom_site_fract_x
_atom_site_fract_y
_atom_site_fract_z
Mn1 0.0000 0.0000 0.0000
Pb1 0.2500 0.2500 0.2500
Br1 0.2500 0.2500 0.7500
```

## Dy4Er4Tm5 (GGA-PBE)

Data for Dy4Er4Tm5 after structural relaxation.

Computed properties:
* E: -4.517 eV/atom
* size of the total moment: 0.0 μB per formula unit
* energy relative to the elements: 0.02 eV/atom
* crystal system: tetragonal

Geometry as CIF:
```
data_Dy4Er4Tm5
_chemical_formula_sum 'Dy8 Er8 Tm10'
_space_group_name_H-M_alt 'I 4/m'
_space_group_IT_number 87
_space_group_name_Hall '-I 4'
_cell_length_a 12.6278
_cell_length_b 12.6278
_cell_length_c 4.9501
_cell_angle_alpha 90.00
_cell_angle_beta 90.00
_cell_angle_gamma 90.00
loop_
_atom_site_label
_atom_site_fract_x
_atom_site_fract_y
_atom_site_fract_z
Dy1 0.1536 0.7698 0.0000
Er1 0.0769 0.3847 0.0000
Tm1 0.0000 0.0000 0.0000
Tm2 0.0381 0.1921 0.5000
```

## MgIrW2 (GGA-PBE)

Data for MgIrW2 after structural relaxation.

Computed properties:
* E: -8.860 eV/atom
* size of the total moment: 0.0 μB per formula unit
* energy relative to the elements: 0.23 eV/atom
* crystal system: trigonal

Geometry as CIF:
```
data_MgIrW2
_chemical_formula_sum 'Mg3 Ir3 W6'
_space_group_name_H-M_alt 'R -3 m'
_space_group_IT_number 166
_space_group_name_Hall '-R 3 2"'
_cell_length_a 2.8224
_cell_length_b 2.8224
_cell_length_c 28.4701
_cell_angle_alpha 90.00
_cell_angle_beta 90.00
_cell_angle_gamma 120.00
loop_
_atom_site_label
_atom_site_fract_x
_atom_site_fract_y
_atom_site_fract_z
Mg1 0.0000 0.0000 0.0000
Ir1 0.0000 0.0000 0.5000
W1 0.0000 0.0000 0.2448
```

## AcErGa (GGA-PBE)

Data for AcErGa after structural relaxation.

Computed properties:
* E: -4.065 eV/atom
* size of the total moment: 0.0 μB per formula unit
* energy relative to the elements: -0.17 eV/atom
* crystal system: cubic

Geometry as CIF:
```
data_AcErGa
_chemical_formula_sum 'Ac4 Er4 Ga4'
_space_group_name_H-M_alt 'F -4 3 m'
_space_group_IT_number 216
_space_group_name_Hall 'F -4 2 3'
_cell_length_a 7.3447
_cell_length_b 7.3447
_cell_length_c 7.3447
_cell_angle_alpha 90.00
_cell_angle_beta 90.00
_cell_angle_gamma 90.00
loop_
_atom_site_label
_atom_site_fract_x
_atom_site_fract_y
_atom_site_fract_z
Ac1 0.0000 0.0000 0.0000
Er1 0.0000 0.0000 0.5000
Ga1 0.2500 0.2500 0.7500
```

## Eu2AlSn (GGA-PBE)

Data for Eu2AlSn after structural relaxation.

Computed properties:
* E: -7.498 eV/atom
* size of the total moment: 14.3 μB per formula unit
* energy relative to the elements: -0.42 eV/atom
* crystal system: tetragonal

Geometry as CIF:
```
data_Eu2AlSn
_chemical_formula_sum 'Eu2 Al1 Sn1'
_space_group_name_H-M_alt 'P 4/m m m'
_space_group_IT_number 123
_space_group_name_Hall '-P 4 2'
_cell_length_a 3.8529
_cell_length_b 3.8529
_cell_length_c 7.7096
_cell_angle_alpha 90.00
_cell_angle_beta 90.00
_cell_angle_gamma 90.00
loop_
_atom_site_label
_atom_site_fract_x
_atom_site_fract_y
_atom_site_fract_z
Eu1 0.0000 0.0000 0.2398
Al1 0.5000 0.5000 0.0000
Sn1 0.5000 0.5000 0.5000
```

## TmSc2Bi4 (GGA-PBE)

Data for TmSc2Bi4 after structural relaxation.

Computed properties:
* E: -5.147 eV/atom
* size of the total moment: 0.0 μB per formula unit
* energy relative to the elements: -0.48 eV/atom
* crystal system: orthorhombic

Geometry as CIF:
```
data_TmSc2Bi4
_chemical_formula_sum 'Tm4 Sc8 Bi16'
_space_group_name_H-M_alt 'C m c m'
_space_group_IT_number 63
_space_group_name_Hall '-C 2c 2'
_cell_length_a 4.3848
_cell_length_b 11.2164
_cell_length_c 16.2810
_cell_angle_alpha 90.00
_cell_angle_beta 90.00
_cell_angle_gamma 90.00
loop_
_atom_site_label
_atom_site_fract_x
_atom_site_fract_y
_atom_site_fract_z
Tm1 0.0000 0.0682 0.2500
Sc1 0.0000 0.3449 0.0731
Bi1 0.0000 0.0000 0.0000
Bi2 0.0000 0.3378 0.6198
Bi3 0.0000 0.3602 0.2500
```

## Li2NbCrSe (GGA-PBE)

Data for Li2NbCrSe after structural relaxation.

Computed properties:
* E: -4.506 eV/atom
* size of the total moment: 0.0 μB per formula unit
* crystal system: tetragonal
* uncorrected formation energy: 0.90 eV per atom

Geometry as CIF:
```
data_Li2NbCrSe
_chemical_formula_sum 'Li2 Nb1 Cr1 Se1'
_space_group_name_H-M_alt 'P 4/m m m'
_space_group_IT_number 123
_space_group_name_Hall '-P 4 2'
_cell_length_a 4.3073
_cell_length_b 4.3073
_cell_length_c 4.3805
_cell_angle_alpha 90.00
_cell_angle_beta 90.00
_cell_angle_gamma 90.00
loop_
_atom_site_label
_atom_site_fract_x
_atom_site_fract_y
_atom_site_fract_z
Li1 0.0000 0.5000 0.0000
Nb1 0.0000 0.0000 0.5000
Cr1 0.5000 0.5000 0.0000
Se1 0.5000 0.5000 0.5000
```

## Cd2H4Pd5 (GGA-PBE)

Data for Cd2H4Pd5 after structural relaxation.

Computed properties:
* E: -3.887 eV/atom
* size of the total moment: 0.0 μB per formula unit
* crystal system: triclinic

Geometry as CIF:
```
data_Cd2H4Pd5
_chemical_formula_sum 'Cd2 H4 Pd5'
_space_group_name_H-M_alt 'P -1'
_space_group_IT_number 2
_space_group_name_Hall '-P 1'
_cell_length_a 5.0266
_cell_length_b 5.3744
_cell_length_c 5.7520
_cell_angle_alpha 65.75
_cell_angle_beta 86.47
_cell_angle_gamma 78.90
loop_
_atom_site_label
_atom_site_fract_x
_atom_site_fract_y
_atom_site_fract_z
Cd1 0.2052 0.1485 0.3631
H1 0.2395 0.8270 0.9588
H2 0.3195 0.3703 0.8041
Pd1 0.0120 0.7307 0.2278
Pd2 0.5000 0.0000 0.0000
Pd3 0.5000 0.5000 0.0000
Pd4 0.5000 0.5000 0.5000
```

## InCu2Tc (GGA-PBE)

Data for InCu2Tc after structural relaxation.

Computed properties:
* E: -4.703 eV/atom
* size of the total moment: 0.0 μB per formula unit
* energy relative to the elements: 0.62 eV/atom
* crystal system: tetragonal

Geometry as CIF:
```
data_InCu2Tc
_chemical_formula_sum 'In4 Cu8 Tc4'
_space_group_name_H-M_alt 'I -4 2 d'
_space_group_IT_number 122
_space_group_name_Hall 'I -4 2bw'
_cell_length_a 3.7869
_cell_length_b 3.7869
_cell_length_c 18.5945
_cell_angle_alpha 90.00
_cell_angle_beta 90.00
_cell_angle_gamma 90.00
loop_
_atom_site_label
_atom_site_fract_x
_atom_site_fract_y
_atom_site_fract_z
In1 0.0000 0.0000 0.0000
Cu1 0.2249 0.2500 0.6250
Tc1 0.0000 0.0000 0.5000
```

## CsThAuS3 (GGA-PBE)

Data for CsThAuS3 after structural relaxation.

Computed properties:
* E: -5.336 eV/atom
* size of the total moment: 0.0 μB per formula unit
* crystal system: monoclinic
* uncorrected formation energy: -1.35 eV per atom

Geometry as CIF:
```
data_CsThAuS3
_chemical_formula_sum 'Cs2 Th2 Au2 S6'
_space_group_name_H-M_alt 'P 1 21/m 1'
_space_group_IT_number 11
_space_group_name_Hall '-P 2yb'
_cell_length_a 9.3410
_cell_length_b 4.2317
_cell_length_c 10.0434
_cell_angle_alpha 90.00
_cell_angle_beta 110.65
_cell_angle_gamma 90.00
loop_
_atom_site_label
_atom_site_fract_x
_atom_site_fract_y
_atom_site_fract_z
Cs1 0.2132 0.2500 0.2505
Th1 0.3174 0.7500 0.8368
Au1 0.1121 0.2500 0.5928
S1 0.1298 0.2500 0.8582
S2 0.2299 0.7500 0.5434
S3 0.4691 0.7500 0.1380
```